# 1
DFT (PBE) results for crystalline Dy2BeAl4Au3 at its relaxed geometry.

Volume = 190.3 Å³ per cell
Formation energy from the elements = -570 kJ/mol of formula units
Spin magnetization = 0.00 μB per formula unit
Symmetry = No. 115

a b c (Å): 4.2011 4.2011 10.7833
angles (deg): 90.00 90.00 90.00
With the nearest neighbours (Å) after each atom.
Fractional coordinates of all 10 atoms:
Dy (0.0000, 0.5000, 0.2381)  8 Al 3.20-3.52, 6 Au 3.24-3.32, 2 Be 3.32
Dy (0.5000, 0.0000, 0.7619)  8 Al 3.20-3.52, 6 Au 3.24-3.32, 2 Be 3.32
Be (0.5000, 0.5000, 0.0000)  4 Al 2.51
Al (0.0000, 0.0000, 0.5000)  4 Au 2.59
Al (0.0000, 0.5000, 0.8721)  3 Au 2.49-2.51, 2 Be 2.51
Al (0.5000, 0.0000, 0.1279)  3 Au 2.49-2.51, 2 Be 2.51
Al (0.5000, 0.5000, 0.5000)  4 Au 2.59
Au (0.0000, 0.0000, 0.0000)  4 Al 2.51
Au (0.0000, 0.5000, 0.6409)  5 Al 2.49-2.59
Au (0.5000, 0.0000, 0.3591)  5 Al 2.49-2.59



# 2
DFT (PBE) results for crystalline AcSmSnHg at its relaxed geometry.

Volume = 128.9 Å³ per cell
Formation energy from the elements = -221 kJ/mol of formula units
Spin magnetization = 0.14 μB per formula unit
E above lowest polymorph = 0 meV/atom
Symmetry = No. 38

a b c (Å): 4.5665 6.5666 6.5666
angles (deg): 40.87 90.00 90.00
With the nearest neighbours (Å) after each atom.
Fractional coordinates of all 4 atoms:
Ac (0.0000, 0.0000, 0.0000)  4 Hg 3.33, 3 Sn 3.35-3.62
Sm (0.5000, 0.7211, 0.7211)  4 Sn 3.30, 3 Hg 3.50-3.51
Sn (0.0000, 0.2722, 0.2722)  2 Hg 3.05, 4 Sm 3.30, 1 Ac 3.35
Hg (0.5000, 0.4370, 0.4370)  2 Sn 3.05, 4 Ac 3.33



# 3
DFT (PBE) results for crystalline Mg3GaAg6 at its relaxed geometry.

Volume = 361.9 Å³ per cell
Formation energy from the elements = -153 kJ/mol of formula units
Spin magnetization = 0.00 μB per formula unit
Symmetry = No. 11

a b c (Å): 7.8005 4.8228 10.3306
angles (deg): 90.00 111.39 90.00
With the nearest neighbours (Å) after each atom.
Fractional coordinates of all 20 atoms:
Mg (0.0523, 0.2500, 0.3824)  9 Ag 2.84-3.01, 1 Ga 3.07, 2 Mg 3.15
Mg (0.1409, 0.7500, 0.2204)  8 Ag 2.79-2.91, 1 Ga 3.06
Mg (0.2747, 0.2500, 0.9845)  11 Ag 2.87-3.02, 1 Mg 3.16
Mg (0.7253, 0.7500, 0.0155)  11 Ag 2.87-3.02, 1 Mg 3.16
Mg (0.8591, 0.2500, 0.7796)  8 Ag 2.79-2.91, 1 Ga 3.06
Mg (0.9477, 0.7500, 0.6176)  9 Ag 2.84-3.01, 1 Ga 3.07, 2 Mg 3.15
Ga (0.4580, 0.2500, 0.5781)  8 Ag 2.79-2.89, 2 Mg 3.06-3.07, 2 Ga 3.10
Ga (0.5420, 0.7500, 0.4219)  8 Ag 2.79-2.89, 2 Mg 3.06-3.07, 2 Ga 3.10
Ag (0.0288, 0.7500, 0.9212)  5 Ag 2.86-3.17, 7 Mg 2.87-3.00
Ag (0.1604, 0.2500, 0.6777)  5 Mg 2.85-2.96, 1 Ga 2.86, 6 Ag 2.93-3.11
Ag (0.2462, 0.7500, 0.5217)  4 Mg 2.84-2.93, 3 Ga 2.85-2.86, 5 Ag 2.97-3.11
Ag (0.3344, 0.7500, 0.8302)  8 Ag 2.86-3.01, 4 Mg 2.95-3.02
Ag (0.3640, 0.2500, 0.2844)  3 Ga 2.85-2.89, 4 Mg 2.91-2.96, 5 Ag 2.97-3.05
Ag (0.4412, 0.7500, 0.1340)  1 Ga 2.79, 4 Mg 2.79-2.90, 6 Ag 2.92-3.05
Ag (0.5588, 0.2500, 0.8660)  1 Ga 2.79, 4 Mg 2.79-2.90, 6 Ag 2.92-3.05
Ag (0.6360, 0.7500, 0.7156)  3 Ga 2.85-2.89, 4 Mg 2.91-2.96, 5 Ag 2.97-3.05
Ag (0.6656, 0.2500, 0.1698)  8 Ag 2.86-3.01, 4 Mg 2.95-3.02
Ag (0.7538, 0.2500, 0.4783)  4 Mg 2.84-2.93, 3 Ga 2.85-2.86, 5 Ag 2.97-3.11
Ag (0.8396, 0.7500, 0.3223)  5 Mg 2.85-2.96, 1 Ga 2.86, 6 Ag 2.93-3.11
Ag (0.9712, 0.2500, 0.0788)  5 Ag 2.86-3.17, 7 Mg 2.87-3.00